AgMoF3: optimized geometry, PBE with a Hubbard U.

Results
Its total energy is -3.90 eV per atom. For the energy above the most stable polymorph in this dataset, the calculation gives 0.751 eV per atom. As for the volume: 17.01 Å³/atom.

```
AgMoF3
1.0
-2.5151 -3.3181 -1.4170
-0.0279 -1.7094 4.0522
-3.6079 2.3263 0.9564
F Ag Mo
3 1 1
Direct
0.5000 0.0000 0.0000
0.0000 0.0000 0.5000
0.0000 0.5000 0.0000
0.0000 0.0000 0.0000
0.5000 0.5000 0.5000
```